1.
CeDyPuSc | PBE | optimized geometry

Values from the calculation:
Spin magnetization: 6.817 μB per formula unit
Raw total energy: -7.551 eV per atom
Crystal system: cubic

Unit cell a=5.4449 b=5.4449 c=5.4449 alpha=60.00 beta=60.00 gamma=60.00
With the nearest neighbours (Å) after each atom.
Fractional coordinates of all 4 atoms:
1 Sc 0.7500 0.7500 0.7500  4 Pu 3.33, 4 Ce 3.33
2 Dy 0.2500 0.2500 0.2500  4 Ce 3.33, 4 Pu 3.33
3 Ce 0.0000 0.0000 0.0000  4 Sc 3.33, 4 Dy 3.33
4 Pu 0.5000 0.5000 0.5000  4 Dy 3.33, 4 Sc 3.33



2.
VInTc2H | PBE | optimized geometry

Values from the calculation:
Spin magnetization: 0.001 μB per formula unit
Raw total energy: -6.822 eV per atom
Crystal system: tetragonal

Unit cell a=4.0096 b=4.0714 c=4.0096 alpha=90.00 beta=90.00 gamma=90.00
With the nearest neighbours (Å) after each atom.
Fractional coordinates of all 5 atoms:
1 H 0.0000 0.0000 0.0000  4 Tc 2.00, 2 In 2.04
2 V 0.5000 0.5000 0.5000  4 In 2.84, 8 Tc 2.86
3 Tc 0.0000 0.0000 0.5000  2 H 2.00
4 Tc 0.5000 0.0000 0.0000  2 H 2.00
5 In 0.0000 0.5000 0.0000  2 H 2.04



3.
In5HgS8 | PBE | optimized geometry

Values from the calculation:
Spin magnetization: 0.000 μB per formula unit
Crystal system: cubic
Formation energy from raw total energies: -0.478 eV per atom

Unit cell a=7.8658 b=7.8658 c=7.8658 alpha=60.00 beta=60.00 gamma=60.00
With the nearest neighbours (Å) after each atom.
Fractional coordinates of all 14 atoms:
1 In 0.0000 0.0000 0.0000  4 S 2.61
2 In 0.6235 0.6235 0.1296  6 S 2.65-2.69
3 In 0.6235 0.6235 0.6235  6 S 2.65-2.69
4 In 0.1296 0.6235 0.6235  6 S 2.65-2.69
5 In 0.6235 0.1296 0.6235  6 S 2.65-2.69
6 Hg 0.2500 0.2500 0.2500  4 S 2.61
7 S 0.3855 0.8434 0.3855  1 Hg 2.61, 3 In 2.65
8 S 0.8434 0.3855 0.3855  1 Hg 2.61, 3 In 2.65
9 S 0.3855 0.3855 0.3855  1 Hg 2.61, 3 In 2.65
10 S 0.3855 0.3855 0.8434  1 Hg 2.61, 3 In 2.65
11 S 0.8646 0.8646 0.4061  4 In 2.61-2.69
12 S 0.4061 0.8646 0.8646  4 In 2.61-2.69
13 S 0.8646 0.8646 0.8646  4 In 2.61-2.69
14 S 0.8646 0.4061 0.8646  4 In 2.61-2.69



4.
KMgSb3 | PBE | optimized geometry

Values from the calculation:
Spin magnetization: 0.000 μB per formula unit
Crystal system: cubic
Formation energy from raw total energies: 0.116 eV per atom

Unit cell a=5.5312 b=5.5312 c=5.5312 alpha=90.00 beta=90.00 gamma=90.00
With the nearest neighbours (Å) after each atom.
Fractional coordinates of all 5 atoms:
1 Sb 0.0000 0.5000 0.0000  2 Mg 2.77
2 Sb 0.0000 0.0000 0.5000  2 Mg 2.77
3 Sb 0.5000 0.0000 0.0000  2 Mg 2.77
4 K 0.5000 0.5000 0.5000  12 Sb 3.91
5 Mg 0.0000 0.0000 0.0000  6 Sb 2.77



5.
CaEr2Tl4 | PBE | optimized geometry

Values from the calculation:
Spin magnetization: 0.000 μB per formula unit
Raw total energy: -3.186 eV per atom
Crystal system: tetragonal

Unit cell a=6.4820 b=6.4820 c=6.4820 alpha=111.40 beta=108.51 gamma=108.51
With the nearest neighbours (Å) after each atom.
Fractional coordinates of all 7 atoms:
1 Ca 0.0000 0.0000 0.0000  8 Tl 3.24
2 Tl 0.5000 0.0000 0.0000  4 Er 3.24, 2 Ca 3.24
3 Tl 0.5000 0.5000 0.5000  2 Ca 3.24, 4 Er 3.24
4 Tl 0.0000 0.0000 0.5000  4 Er 3.24, 2 Ca 3.24
5 Tl 0.0000 0.5000 0.0000  4 Er 3.24, 2 Ca 3.24
6 Er 0.5000 0.5000 0.0000  8 Tl 3.24
7 Er 0.5000 0.0000 0.5000  8 Tl 3.24



6.
Er5Rh2Pb2 | PBE | optimized geometry

Values from the calculation:
Spin magnetization: 0.000 μB per formula unit
Raw total energy: -5.642 eV per atom
Crystal system: orthorhombic

Unit cell a=7.1778 b=8.3794 c=8.8099 alpha=118.40 beta=90.00 gamma=90.00
With the nearest neighbours (Å) after each atom.
Fractional coordinates of all 18 atoms:
1 Er 0.0000 0.0000 0.0000  2 Rh 2.79
2 Er 0.5000 0.5000 0.0000  2 Rh 2.79
3 Er 0.8519 0.7935 0.2344  2 Rh 2.79-2.88
4 Er 0.1481 0.4409 0.2344  2 Rh 2.79-2.88
5 Er 0.3519 0.9409 0.2344  2 Rh 2.79-2.88
6 Er 0.6481 0.2935 0.2344  2 Rh 2.79-2.88
7 Er 0.1481 0.2065 0.7656  2 Rh 2.79-2.88
8 Er 0.8519 0.5591 0.7656  2 Rh 2.79-2.88
9 Er 0.6481 0.0591 0.7656  2 Rh 2.79-2.88
10 Er 0.3519 0.7065 0.7656  2 Rh 2.79-2.88
11 Rh 0.6417 0.8726 0.0000  5 Er 2.79-2.88, 1 Rh 2.95
12 Rh 0.3583 0.1274 0.0000  5 Er 2.79-2.88, 1 Rh 2.95
13 Rh 0.1417 0.6274 0.0000  5 Er 2.79-2.88, 1 Rh 2.95
14 Rh 0.8583 0.3726 0.0000  5 Er 2.79-2.88, 1 Rh 2.95
15 Pb 0.0000 0.2136 0.4271  7 Er 3.19-3.31
16 Pb 0.5000 0.7136 0.4271  7 Er 3.19-3.31
17 Pb 0.0000 0.7864 0.5729  7 Er 3.19-3.31
18 Pb 0.5000 0.2864 0.5729  7 Er 3.19-3.31



7.
BaTlH6Pt2 | PBE | optimized geometry

Values from the calculation:
Spin magnetization: 0.000 μB per formula unit
Raw total energy: -3.906 eV per atom
Crystal system: monoclinic

Unit cell a=6.6737 b=6.6737 c=8.7493 alpha=115.28 beta=115.28 gamma=101.48
With the nearest neighbours (Å) after each atom.
Fractional coordinates of all 20 atoms:
1 Ba 0.1001 0.8999 0.2500  8 H 2.62-2.76
2 Ba 0.8999 0.1001 0.7500  8 H 2.62-2.76
3 Tl 0.6463 0.3537 0.2500  2 H 2.36
4 Tl 0.3537 0.6463 0.7500  2 H 2.36
5 H 0.0432 0.4039 0.3232  1 Pt 1.63
6 H 0.5961 0.9568 0.1768  1 Pt 1.63
7 H 0.9568 0.5961 0.6768  1 Pt 1.63
8 H 0.4039 0.0432 0.8232  1 Pt 1.63
9 H 0.1546 0.1843 0.1217  1 Pt 1.66
10 H 0.8157 0.8454 0.3783  1 Pt 1.66
11 H 0.8454 0.8157 0.8783  1 Pt 1.66
12 H 0.1843 0.1546 0.6217  1 Pt 1.66
13 H 0.3920 0.7813 0.4943  1 Pt 1.65
14 H 0.2187 0.6080 0.0057  1 Pt 1.65
15 H 0.6080 0.2187 0.5057  1 Pt 1.65
16 H 0.7813 0.3920 0.9943  1 Pt 1.65
17 Pt 0.4840 0.2817 0.8123  3 H 1.63-1.66
18 Pt 0.7183 0.5160 0.6877  3 H 1.63-1.66
19 Pt 0.5160 0.7183 0.1877  3 H 1.63-1.66
20 Pt 0.2817 0.4840 0.3123  3 H 1.63-1.66



8.
Ho12Er7Th | PBE | optimized geometry

Values from the calculation:
Spin magnetization: 0.000 μB per formula unit
Raw total energy: -3.945 eV per atom
Crystal system: cubic

Unit cell a=9.7047 b=9.7047 c=9.7047 alpha=109.47 beta=109.47 gamma=109.47
With the nearest neighbours (Å) after each atom.
Fractional coordinates of all 20 atoms:
1 Ho 0.5063 0.7535 0.7528  2 Er 2.80
2 Ho 0.0007 0.7535 0.2472  2 Er 2.80
3 Ho 0.4937 0.2465 0.2472  2 Er 2.80
4 Ho 0.9993 0.2465 0.7528  2 Er 2.80
5 Ho 0.7528 0.9993 0.2465  2 Er 2.80
6 Ho 0.7528 0.5063 0.7535  2 Er 2.80
7 Ho 0.2472 0.0007 0.7535  2 Er 2.80
8 Ho 0.2472 0.4937 0.2465  2 Er 2.80
9 Ho 0.7535 0.7528 0.5063  2 Er 2.80
10 Ho 0.2465 0.2472 0.4937  2 Er 2.80
11 Ho 0.7535 0.2472 0.0007  2 Er 2.80
12 Ho 0.2465 0.7528 0.9993  2 Er 2.80
13 Er 0.5000 0.5000 0.0000  12 Ho 3.96-4.01
14 Er 0.0000 0.5000 0.5000  12 Ho 3.96-4.01
15 Er 0.5000 0.0000 0.5000  12 Ho 3.96-4.01
16 Er 0.5000 0.5000 0.5000  6 Ho 2.80
17 Er 0.0000 0.0000 0.5000  6 Ho 2.80
18 Er 0.5000 0.0000 0.0000  6 Ho 2.80
19 Er 0.0000 0.5000 0.0000  6 Ho 2.80
20 Th 0.0000 0.0000 0.0000  12 Ho 3.91



9.
HfAg2Hg | PBE | optimized geometry

Values from the calculation:
Spin magnetization: 0.000 μB per formula unit
Raw total energy: -3.915 eV per atom
Crystal system: monoclinic

Unit cell a=3.0674 b=3.0674 c=10.1220 alpha=81.29 beta=81.29 gamma=60.21
With the nearest neighbours (Å) after each atom.
Fractional coordinates of all 4 atoms:
1 Hf 0.5012 0.5012 0.5003  6 Ag 3.01-3.02, 6 Hf 3.07-3.08
2 Ag 0.0846 0.0846 0.7444  3 Hf 3.01, 6 Ag 3.07-3.08, 3 Hg 3.10
3 Ag 0.2475 0.2475 0.2558  3 Hf 3.01-3.02, 6 Ag 3.07-3.08, 3 Hg 3.11
4 Hg 0.6667 0.6667 0.9996  6 Hg 3.07-3.08, 6 Ag 3.10-3.11



10.
La2CuPd2 | PBE | optimized geometry

Values from the calculation:
Spin magnetization: 0.000 μB per formula unit
Raw total energy: -5.489 eV per atom
Crystal system: orthorhombic

Unit cell a=4.5892 b=5.6638 c=5.6641 alpha=60.79 beta=66.10 gamma=66.10
With the nearest neighbours (Å) after each atom.
Fractional coordinates of all 5 atoms:
1 La 0.6959 0.8041 0.3040  6 Pd 3.00-3.18, 2 Cu 3.33
2 La 0.3041 0.1959 0.6960  6 Pd 3.00-3.18, 2 Cu 3.33
3 Cu 0.5000 0.5000 0.0000  4 Pd 2.72
4 Pd 0.0000 0.2465 0.2535  2 Cu 2.72, 2 Pd 2.83-2.91, 2 La 3.00
5 Pd 0.0000 0.7535 0.7465  2 Cu 2.72, 2 Pd 2.83-2.91, 2 La 3.00



11.
K2TbZn2Te4 | PBE | optimized geometry

Values from the calculation:
Spin magnetization: 0.000 μB per formula unit
Crystal system: monoclinic
Formation energy from raw total energies: -0.856 eV per atom

Unit cell a=4.6644 b=8.3560 c=8.4910 alpha=108.68 beta=105.94 gamma=90.00
With the nearest neighbours (Å) after each atom.
Fractional coordinates of all 9 atoms:
1 K 0.1307 0.5650 0.2614  7 Te 3.68-3.80, 1 Zn 3.99, 1 K 4.04
2 K 0.8693 0.4350 0.7386  7 Te 3.68-3.80, 1 Zn 3.99, 1 K 4.04
3 Tb 0.0000 0.0000 0.0000  6 Te 3.15-3.16
4 Zn 0.6737 0.9946 0.3474  4 Te 2.72-2.83
5 Zn 0.3263 0.0054 0.6526  4 Te 2.72-2.83
6 Te 0.2036 0.1778 0.4071  3 Zn 2.74-2.83
7 Te 0.7964 0.8222 0.5929  3 Zn 2.74-2.83
8 Te 0.5128 0.7567 0.0255  1 Zn 2.72
9 Te 0.4872 0.2433 0.9745  1 Zn 2.72



spin magnetization of number 9 (HfAg2Hg)? 0.000 μB per formula unit